{"formula": "Tb3Nd2Tl4", "functional": "PBE", "state": "optimized geometry", "lattice_angstrom": [[-3.4114, -4.0875, -4.8987], [6.8740, 1.4082, -5.9620], [5.6054, -4.6927, 5.3546]], "species": ["Tb", "Nd", "Tl", "Tb", "Nd", "Tb", "Tb", "Tb", "Nd", "Tl", "Tb", "Tl", "Tl", "Tl", "Nd", "Tl", "Tl", "Tl"], "frac_coords": [[0.9658, 0.2500, 0.4315], [0.8909, 0.4239, 0.7817], [0.2194, 0.7500, 0.9388], [0.0342, 0.7500, 0.5685], [0.3909, 0.0761, 0.7817], [0.4658, 0.2500, 0.4315], [0.5000, 0.5000, 0.0000], [0.0000, 0.0000, 0.0000], [0.6091, 0.9239, 0.2183], [0.3143, 0.4593, 0.6286], [0.5342, 0.7500, 0.5685], [0.2806, 0.2500, 0.0612], [0.7194, 0.7500, 0.9388], [0.8143, 0.0407, 0.6286], [0.1091, 0.5761, 0.2183], [0.1857, 0.9593, 0.3714], [0.6857, 0.5407, 0.3714], [0.7806, 0.2500, 0.0612]], "de_polymorph_mev_per_atom": 58, "m_tot_mub_per_atom": 0.000, "density_kg_m3": 9498, "ef_kj_per_mol_fu": -213, "energy_ev_per_atom": -3.90}

{"formula": "TbNdTl", "functional": "PBE", "state": "optimized geometry", "lattice_angstrom": [[-3.7669, -1.1528, 2.6754], [-5.1278, -1.6679, -7.9385], [2.4652, -7.8991, 0.0672]], "species": ["Tl", "Tb", "Tb", "Tb", "Nd", "Tl", "Nd", "Tl", "Nd", "Tb", "Tl", "Nd"], "frac_coords": [[0.7500, 0.1252, 0.7417], [0.7500, 0.4295, 0.8599], [0.2500, 0.9295, 0.6401], [0.7500, 0.0705, 0.3599], [0.2500, 0.3306, 0.5305], [0.7500, 0.3748, 0.2417], [0.2500, 0.1694, 0.0305], [0.2500, 0.8748, 0.2583], [0.7500, 0.6694, 0.4695], [0.2500, 0.5705, 0.1401], [0.2500, 0.6252, 0.7583], [0.7500, 0.8306, 0.9695]], "de_polymorph_mev_per_atom": 4, "m_tot_mub_per_atom": 0.348, "density_kg_m3": 8915, "ef_kj_per_mol_fu": -75, "energy_ev_per_atom": -4.18}

{"formula": "Tb3Nd2Tl", "functional": "PBE", "state": "optimized geometry", "lattice_angstrom": [[4.9514, 0.0000, 0.0000], [0.0000, 4.6486, -1.5718], [0.0000, 0.1426, 8.0819]], "species": ["Nd", "Nd", "Tl", "Tb", "Tb", "Tb"], "frac_coords": [[0.0000, 0.3376, 0.6752], [0.0000, 0.6624, 0.3248], [0.0000, 0.0000, 0.0000], [0.5000, 0.5000, 0.0000], [0.5000, 0.8349, 0.6697], [0.5000, 0.1651, 0.3303]], "de_polymorph_mev_per_atom": 0, "m_tot_mub_per_atom": 0.000, "density_kg_m3": 8604, "ef_kj_per_mol_fu": -57, "energy_ev_per_atom": -4.40}

{"formula": "Tb3Nd2Tl2", "functional": "PBE", "state": "optimized geometry", "lattice_angstrom": [[-2.9810, 4.1762, 1.0323], [-2.2007, -0.8678, -2.8445], [-3.8490, -7.9580, 7.8116]], "species": ["Nd", "Tb", "Tl", "Tb", "Tb", "Nd", "Tl"], "frac_coords": [[0.4273, 0.4273, 0.8547], [0.7039, 0.2039, 0.4077], [0.1539, 0.6539, 0.3078], [0.2961, 0.7961, 0.5923], [0.0000, 0.0000, 0.0000], [0.5727, 0.5727, 0.1453], [0.8461, 0.3461, 0.6922]], "de_polymorph_mev_per_atom": 98, "m_tot_mub_per_atom": 0.000, "density_kg_m3": 8868, "ef_kj_per_mol_fu": -70, "energy_ev_per_atom": -4.13}